(1)
The following is a DFT calculation (PBE) of crystalline Ho5Hg2Bi2 at its relaxed geometry. Values from VASP.

Structure (Quantum ESPRESSO input):
```
&SYSTEM
  ibrav = 0, nat = 18, ntyp = 3
/
ATOMIC_SPECIES
Ho 164.93 Ho.upf
Hg 200.59 Hg.upf
Bi 208.98 Bi.upf
CELL_PARAMETERS angstrom
7.893 -4.060 0.000
7.893 4.060 0.000
0.000 0.000 8.044
ATOMIC_POSITIONS crystal
Ho 0.000 0.000 0.000
Ho 0.036 0.702 0.664
Ho 0.202 0.536 0.164
Ho 0.298 0.964 0.664
Ho 0.464 0.798 0.164
Ho 0.500 0.500 0.500
Ho 0.536 0.202 0.836
Ho 0.702 0.036 0.336
Ho 0.798 0.464 0.836
Ho 0.964 0.298 0.336
Hg 0.135 0.865 0.368
Hg 0.365 0.635 0.868
Hg 0.635 0.365 0.132
Hg 0.865 0.135 0.632
Bi 0.207 0.207 0.000
Bi 0.293 0.293 0.500
Bi 0.707 0.707 0.500
Bi 0.793 0.793 0.000
```

Values from the calculation:
Its space-group type is No. 64. As for the energy of formation from the pure elements: -0.594 eV/atom.



(2)
The following is a DFT calculation (PBE) of crystalline Ho2HgBi at its relaxed geometry. Values from VASP.

Structure (Quantum ESPRESSO input):
```
&SYSTEM
  ibrav = 0, nat = 4, ntyp = 3
/
ATOMIC_SPECIES
Ho 164.93 Ho.upf
Hg 200.59 Hg.upf
Bi 208.98 Bi.upf
CELL_PARAMETERS angstrom
2.121 1.225 7.796
-2.121 1.225 7.796
0.000 -2.450 7.796
ATOMIC_POSITIONS crystal
Ho 0.000 0.000 0.000
Ho 0.170 0.170 0.170
Hg 0.753 0.753 0.753
Bi 0.584 0.584 0.584
```

Values from the calculation:
Its space-group type is No. 160. As for the energy of formation from the pure elements: -0.451 eV/atom. As for the energy above the most stable polymorph in this dataset: 141 meV/atom.



(3)
The following is a DFT calculation (PBE) of crystalline Ho5HgBi at its relaxed geometry. Values from VASP.

Structure (Quantum ESPRESSO input):
```
&SYSTEM
  ibrav = 0, nat = 14, ntyp = 3
/
ATOMIC_SPECIES
Ho 164.93 Ho.upf
Hg 200.59 Hg.upf
Bi 208.98 Bi.upf
CELL_PARAMETERS angstrom
5.696 -3.235 0.000
5.696 3.235 0.000
-2.559 0.000 11.581
ATOMIC_POSITIONS crystal
Ho 0.112 0.355 0.658
Ho 0.112 0.888 0.750
Ho 0.244 0.469 0.944
Ho 0.355 0.112 0.158
Ho 0.469 0.244 0.444
Ho 0.531 0.756 0.556
Ho 0.645 0.888 0.842
Ho 0.756 0.531 0.056
Ho 0.888 0.112 0.250
Ho 0.888 0.645 0.342
Hg 0.000 0.000 0.000
Hg 0.000 0.000 0.500
Bi 0.388 0.612 0.250
Bi 0.612 0.388 0.750
```

Values from the calculation:
Its space-group type is No. 15. As for the energy of formation from the pure elements: -0.150 eV/atom.



(4)
The following is a DFT calculation (PBE) of crystalline Ho5HgBi4 at its relaxed geometry. Values from VASP.

Structure (Quantum ESPRESSO input):
```
&SYSTEM
  ibrav = 0, nat = 10, ntyp = 3
/
ATOMIC_SPECIES
Ho 164.93 Ho.upf
Hg 200.59 Hg.upf
Bi 208.98 Bi.upf
CELL_PARAMETERS angstrom
-4.960 4.960 3.132
4.960 -4.960 3.132
4.960 4.960 -3.132
ATOMIC_POSITIONS crystal
Ho 0.000 0.000 0.000
Ho 0.199 0.397 0.595
Ho 0.397 0.802 0.198
Ho 0.604 0.199 0.802
Ho 0.802 0.604 0.405
Hg 0.500 0.500 0.000
Bi 0.100 0.701 0.799
Bi 0.301 0.100 0.399
Bi 0.701 0.902 0.601
Bi 0.902 0.301 0.201
```

Values from the calculation:
Its space-group type is No. 79. As for the energy of formation from the pure elements: -0.671 eV/atom.



(5)
The following is a DFT calculation (PBE) of crystalline Ho7Hg2Bi2 at its relaxed geometry. Values from VASP.

Structure (Quantum ESPRESSO input):
```
&SYSTEM
  ibrav = 0, nat = 11, ntyp = 3
/
ATOMIC_SPECIES
Ho 164.93 Ho.upf
Hg 200.59 Hg.upf
Bi 208.98 Bi.upf
CELL_PARAMETERS angstrom
4.733 -5.469 0.000
4.733 5.469 0.000
0.000 0.000 6.948
ATOMIC_POSITIONS crystal
Ho 0.000 0.000 0.000
Ho 0.000 0.500 0.253
Ho 0.000 0.500 0.747
Ho 0.500 0.000 0.253
Ho 0.500 0.000 0.747
Ho 0.500 0.500 0.248
Ho 0.500 0.500 0.752
Hg 0.276 0.724 0.000
Hg 0.724 0.276 0.000
Bi 0.200 0.200 0.500
Bi 0.800 0.800 0.500
```

Values from the calculation:
Its space-group type is No. 65. As for the energy of formation from the pure elements: -0.168 eV/atom.



(6)
The following is a DFT calculation (PBE) of crystalline Ho4HgBi2 at its relaxed geometry. Values from VASP.

Structure (Quantum ESPRESSO input):
```
&SYSTEM
  ibrav = 0, nat = 14, ntyp = 3
/
ATOMIC_SPECIES
Ho 164.93 Ho.upf
Hg 200.59 Hg.upf
Bi 208.98 Bi.upf
CELL_PARAMETERS angstrom
6.322 0.000 0.000
0.000 6.678 0.000
-2.333 0.000 9.843
ATOMIC_POSITIONS crystal
Ho 0.010 0.001 0.252
Ho 0.010 0.499 0.252
Ho 0.351 0.750 0.529
Ho 0.454 0.750 0.157
Ho 0.546 0.250 0.843
Ho 0.649 0.250 0.471
Ho 0.990 0.501 0.748
Ho 0.990 0.999 0.748
Hg 0.398 0.750 0.828
Hg 0.602 0.250 0.172
Bi 0.150 0.250 0.016
Bi 0.193 0.250 0.535
Bi 0.807 0.750 0.465
Bi 0.850 0.750 0.984
```

Values from the calculation:
Its space-group type is No. 11. As for the energy of formation from the pure elements: -0.421 eV/atom.



(7)
The following is a DFT calculation (PBE) of crystalline Ho2HgBi at its relaxed geometry. Values from VASP.

Structure (Quantum ESPRESSO input):
```
&SYSTEM
  ibrav = 0, nat = 4, ntyp = 3
/
ATOMIC_SPECIES
Ho 164.93 Ho.upf
Hg 200.59 Hg.upf
Bi 208.98 Bi.upf
CELL_PARAMETERS angstrom
0.000 3.792 3.792
3.792 0.000 3.792
3.792 3.792 0.000
ATOMIC_POSITIONS crystal
Ho 0.250 0.250 0.250
Ho 0.750 0.750 0.750
Hg 0.000 0.000 0.000
Bi 0.500 0.500 0.500
```

Values from the calculation:
Its space-group type is No. 225. As for the energy of formation from the pure elements: -0.473 eV/atom. As for the energy above the most stable polymorph in this dataset: 118 meV/atom.



(8)
The following is a DFT calculation (PBE) of crystalline LaHoHgBi at its relaxed geometry. Values from VASP.

Structure (Quantum ESPRESSO input):
```
&SYSTEM
  ibrav = 0, nat = 4, ntyp = 4
/
ATOMIC_SPECIES
La 138.91 La.upf
Ho 164.93 Ho.upf
Hg 200.59 Hg.upf
Bi 208.98 Bi.upf
CELL_PARAMETERS angstrom
0.000 3.880 3.880
3.880 0.000 3.880
3.880 3.880 0.000
ATOMIC_POSITIONS crystal
La 0.000 0.000 0.000
Ho 0.500 0.500 0.500
Hg 0.250 0.250 0.250
Bi 0.750 0.750 0.750
```

Values from the calculation:
Its space-group type is No. 216. As for the energy of formation from the pure elements: -0.554 eV/atom.



(9)
The following is a DFT calculation (PBE) of crystalline NaHoHgBi at its relaxed geometry. Values from VASP.

Structure (Quantum ESPRESSO input):
```
&SYSTEM
  ibrav = 0, nat = 4, ntyp = 4
/
ATOMIC_SPECIES
Na 22.99 Na.upf
Ho 164.93 Ho.upf
Hg 200.59 Hg.upf
Bi 208.98 Bi.upf
CELL_PARAMETERS angstrom
0.000 3.788 3.788
3.788 0.000 3.788
3.788 3.788 0.000
ATOMIC_POSITIONS crystal
Na 0.000 0.000 0.000
Ho 0.500 0.500 0.500
Hg 0.750 0.750 0.750
Bi 0.250 0.250 0.250
```

Values from the calculation:
Its space-group type is No. 216. As for the energy of formation from the pure elements: -0.390 eV/atom.



(10)
The following is a DFT calculation (PBE) of crystalline Na2HoHgBi2 at its relaxed geometry. Values from VASP.

Structure (Quantum ESPRESSO input):
```
&SYSTEM
  ibrav = 0, nat = 12, ntyp = 4
/
ATOMIC_SPECIES
Na 22.99 Na.upf
Ho 164.93 Ho.upf
Hg 200.59 Hg.upf
Bi 208.98 Bi.upf
CELL_PARAMETERS angstrom
4.963 0.000 0.000
0.000 9.375 0.000
0.000 0.000 7.471
ATOMIC_POSITIONS crystal
Na 0.000 0.025 0.000
Na 0.000 0.975 0.500
Na 0.500 0.154 0.281
Na 0.500 0.846 0.781
Ho 0.500 0.496 0.969
Ho 0.500 0.504 0.469
Hg 0.000 0.317 0.593
Hg 0.000 0.683 0.093
Bi 0.000 0.350 0.179
Bi 0.000 0.650 0.679
Bi 0.500 0.193 0.755
Bi 0.500 0.807 0.255
```

Values from the calculation:
Its space-group type is No. 26. As for the energy of formation from the pure elements: -0.370 eV/atom.



(11)
The following is a DFT calculation (PBE) of crystalline NdHoHgBi at its relaxed geometry. Values from VASP.

Structure (Quantum ESPRESSO input):
```
&SYSTEM
  ibrav = 0, nat = 4, ntyp = 4
/
ATOMIC_SPECIES
Nd 144.24 Nd.upf
Ho 164.93 Ho.upf
Hg 200.59 Hg.upf
Bi 208.98 Bi.upf
CELL_PARAMETERS angstrom
0.000 3.845 3.845
3.845 0.000 3.845
3.845 3.845 0.000
ATOMIC_POSITIONS crystal
Nd 0.000 0.000 0.000
Ho 0.500 0.500 0.500
Hg 0.250 0.250 0.250
Bi 0.750 0.750 0.750
```

Values from the calculation:
Its space-group type is No. 216. As for the energy of formation from the pure elements: -0.518 eV/atom.



(12)
The following is a DFT calculation (PBE) of crystalline HoHgBiPd at its relaxed geometry. Values from VASP.

Structure (Quantum ESPRESSO input):
```
&SYSTEM
  ibrav = 0, nat = 4, ntyp = 4
/
ATOMIC_SPECIES
Ho 164.93 Ho.upf
Hg 200.59 Hg.upf
Bi 208.98 Bi.upf
Pd 106.42 Pd.upf
CELL_PARAMETERS angstrom
0.000 3.604 3.604
3.604 0.000 3.604
3.604 3.604 0.000
ATOMIC_POSITIONS crystal
Ho 0.000 0.000 0.000
Hg 0.750 0.750 0.750
Bi 0.500 0.500 0.500
Pd 0.250 0.250 0.250
```

Values from the calculation:
Its space-group type is No. 216. As for the energy of formation from the pure elements: -0.470 eV/atom.



(13)
The following is a DFT calculation (PBE) of crystalline PrHoHgBi at its relaxed geometry. Values from VASP.

Structure (Quantum ESPRESSO input):
```
&SYSTEM
  ibrav = 0, nat = 4, ntyp = 4
/
ATOMIC_SPECIES
Pr 140.91 Pr.upf
Ho 164.93 Ho.upf
Hg 200.59 Hg.upf
Bi 208.98 Bi.upf
CELL_PARAMETERS angstrom
0.000 3.858 3.858
3.858 0.000 3.858
3.858 3.858 0.000
ATOMIC_POSITIONS crystal
Pr 0.000 0.000 0.000
Ho 0.500 0.500 0.500
Hg 0.750 0.750 0.750
Bi 0.250 0.250 0.250
```

Values from the calculation:
Its space-group type is No. 216. As for the energy of formation from the pure elements: -0.520 eV/atom.



(14)
The following is a DFT calculation (PBE) of crystalline HoScHgBi at its relaxed geometry. Values from VASP.

Structure (Quantum ESPRESSO input):
```
&SYSTEM
  ibrav = 0, nat = 4, ntyp = 4
/
ATOMIC_SPECIES
Ho 164.93 Ho.upf
Sc 44.96 Sc.upf
Hg 200.59 Hg.upf
Bi 208.98 Bi.upf
CELL_PARAMETERS angstrom
0.000 3.713 3.713
3.713 0.000 3.713
3.713 3.713 0.000
ATOMIC_POSITIONS crystal
Ho 0.000 0.000 0.000
Sc 0.500 0.500 0.500
Hg 0.250 0.250 0.250
Bi 0.750 0.750 0.750
```

Values from the calculation:
Its space-group type is No. 216. As for the energy of formation from the pure elements: -0.415 eV/atom.



(15)
The following is a DFT calculation (PBE) of crystalline Ho4HgBiSe2 at its relaxed geometry. Values from VASP.

Structure (Quantum ESPRESSO input):
```
&SYSTEM
  ibrav = 0, nat = 8, ntyp = 4
/
ATOMIC_SPECIES
Ho 164.93 Ho.upf
Hg 200.59 Hg.upf
Bi 208.98 Bi.upf
Se 78.96 Se.upf
CELL_PARAMETERS angstrom
7.036 0.000 0.000
0.000 4.129 0.000
-2.387 0.000 7.307
ATOMIC_POSITIONS crystal
Ho 0.238 0.000 0.229
Ho 0.250 0.500 0.770
Ho 0.750 0.500 0.230
Ho 0.762 0.000 0.771
Hg 0.000 0.000 0.500
Bi 0.500 0.500 0.500
Se 0.000 0.500 0.000
Se 0.500 0.000 0.000
```

Values from the calculation:
Its space-group type is No. 10. The formation energy (no corrections) is -1.1428 eV/atom.



(16)
The following is a DFT calculation (PBE) of crystalline Ho4HgBi2Se at its relaxed geometry. Values from VASP.

Structure (Quantum ESPRESSO input):
```
&SYSTEM
  ibrav = 0, nat = 8, ntyp = 4
/
ATOMIC_SPECIES
Ho 164.93 Ho.upf
Hg 200.59 Hg.upf
Bi 208.98 Bi.upf
Se 78.96 Se.upf
CELL_PARAMETERS angstrom
7.250 0.000 0.000
0.000 4.274 0.000
-2.515 0.000 7.391
ATOMIC_POSITIONS crystal
Ho 0.234 0.000 0.238
Ho 0.235 0.500 0.756
Ho 0.765 0.500 0.244
Ho 0.766 0.000 0.762
Hg 0.000 0.000 0.500
Bi 0.500 0.000 0.000
Bi 0.500 0.500 0.500
Se 0.000 0.500 0.000
```

Values from the calculation:
Its space-group type is No. 10. The formation energy (no corrections) is -0.9046 eV/atom.



(17)
The following is a DFT calculation (PBE) of crystalline SmHoHgBi at its relaxed geometry. Values from VASP.

Structure (Quantum ESPRESSO input):
```
&SYSTEM
  ibrav = 0, nat = 4, ntyp = 4
/
ATOMIC_SPECIES
Sm 150.36 Sm.upf
Ho 164.93 Ho.upf
Hg 200.59 Hg.upf
Bi 208.98 Bi.upf
CELL_PARAMETERS angstrom
0.000 3.825 3.825
3.825 0.000 3.825
3.825 3.825 0.000
ATOMIC_POSITIONS crystal
Sm 0.000 0.000 0.000
Ho 0.500 0.500 0.500
Hg 0.250 0.250 0.250
Bi 0.750 0.750 0.750
```

Values from the calculation:
Its space-group type is No. 216. As for the energy of formation from the pure elements: -0.509 eV/atom.



(18)
The following is a DFT calculation (PBE) of crystalline SrHoHgBi at its relaxed geometry. Values from VASP.

Structure (Quantum ESPRESSO input):
```
&SYSTEM
  ibrav = 0, nat = 4, ntyp = 4
/
ATOMIC_SPECIES
Sr 87.62 Sr.upf
Ho 164.93 Ho.upf
Hg 200.59 Hg.upf
Bi 208.98 Bi.upf
CELL_PARAMETERS angstrom
0.000 3.933 3.933
3.933 0.000 3.933
3.933 3.933 0.000
ATOMIC_POSITIONS crystal
Sr 0.000 0.000 0.000
Ho 0.500 0.500 0.500
Hg 0.250 0.250 0.250
Bi 0.750 0.750 0.750
```

Values from the calculation:
Its space-group type is No. 216. As for the energy of formation from the pure elements: -0.493 eV/atom.



(19)
The following is a DFT calculation (PBE) of crystalline HoTlHgBi at its relaxed geometry. Values from VASP.

Structure (Quantum ESPRESSO input):
```
&SYSTEM
  ibrav = 0, nat = 4, ntyp = 4
/
ATOMIC_SPECIES
Ho 164.93 Ho.upf
Tl 204.38 Tl.upf
Hg 200.59 Hg.upf
Bi 208.98 Bi.upf
CELL_PARAMETERS angstrom
0.000 3.858 3.858
3.858 0.000 3.858
3.858 3.858 0.000
ATOMIC_POSITIONS crystal
Ho 0.000 0.000 0.000
Tl 0.500 0.500 0.500
Hg 0.250 0.250 0.250
Bi 0.750 0.750 0.750
```

Values from the calculation:
Its space-group type is No. 216. As for the energy of formation from the pure elements: -0.226 eV/atom.



(20)
The following is a DFT calculation (PBE) of crystalline YHoHgBi at its relaxed geometry. Values from VASP.

Structure (Quantum ESPRESSO input):
```
&SYSTEM
  ibrav = 0, nat = 4, ntyp = 4
/
ATOMIC_SPECIES
Y 88.91 Y.upf
Ho 164.93 Ho.upf
Hg 200.59 Hg.upf
Bi 208.98 Bi.upf
CELL_PARAMETERS angstrom
0.000 3.800 3.800
3.800 0.000 3.800
3.800 3.800 0.000
ATOMIC_POSITIONS crystal
Y 0.000 0.000 0.000
Ho 0.500 0.500 0.500
Hg 0.750 0.750 0.750
Bi 0.250 0.250 0.250
```

Values from the calculation:
Its space-group type is No. 216. As for the energy of formation from the pure elements: -0.497 eV/atom.



Number 1: E_tot -4.067 eV per atom. Number 2: E_tot -3.786 eV per atom. Number 3: E_tot -4.017 eV per atom. Number 4: E_tot -4.542 eV per atom. Number 5: E_tot -3.842 eV per atom. Number 6: E_tot -4.188 eV per atom. Number 7: E_tot -3.808 eV per atom. Number 8: E_tot -3.976 eV per atom. Number 9: E_tot -2.910 eV per atom. Number 10: E_tot -2.916 eV per atom. Number 11: E_tot -3.900 eV per atom. Number 12: E_tot -3.958 eV per atom. Number 13: E_tot -3.905 eV per atom. Number 14: E_tot -4.188 eV per atom. Number 15: E_tot -4.826 eV per atom. Number 16: E_tot -4.637 eV per atom. Number 17: E_tot -3.879 eV per atom. Number 18: E_tot -3.104 eV per atom. Number 19: E_tot -3.007 eV per atom. Number 20: E_tot -4.303 eV per atom.